[1]
Material: ZrTlW3
Method: DFT, PBE
State: optimized geometry

Computed properties:
As for the offset from the most stable computed form: 0.0000 eV/atom. The value obtained for the formation energy is 2.503 eV/atom. The total magnetization is 0.000 μB per formula unit.

Unit cell a=4.8709 b=4.8709 c=4.8709 alpha=90.00 beta=90.00 gamma=90.00
Fractional coordinates of all 5 atoms:
W (0.5000, 0.0000, 0.0000)
W (0.0000, 0.0000, 0.5000)
W (0.0000, 0.5000, 0.0000)
Tl (0.5000, 0.5000, 0.5000)
Zr (0.0000, 0.0000, 0.0000)


[2]
Material: ZrTlW2
Method: DFT, PBE
State: optimized geometry

Computed properties:
As for the offset from the most stable computed form: 0.2633 eV/atom. The value obtained for the formation energy is 0.548 eV/atom. The total magnetization is 0.000 μB per formula unit.

Unit cell a=5.6994 b=5.6994 c=2.8883 alpha=78.17 beta=78.17 gamma=118.55
Fractional coordinates of all 4 atoms:
Zr (0.5000, 0.0000, 0.5000)
W (0.5000, 0.5000, 0.0000)
W (0.0000, 0.0000, 0.0000)
Tl (0.0000, 0.5000, 0.5000)


[3]
Material: ZrTlW2
Method: DFT, PBE
State: optimized geometry

Computed properties:
As for the offset from the most stable computed form: 0.2368 eV/atom. The value obtained for the formation energy is 0.521 eV/atom. The total magnetization is 0.000 μB per formula unit.

Unit cell a=4.9439 b=4.9439 c=4.9439 alpha=126.58 beta=126.58 gamma=78.94
Fractional coordinates of all 4 atoms:
Tl (0.7500, 0.2500, 0.5000)
W (0.2500, 0.7500, 0.5000)
W (0.0000, 0.0000, 0.0000)
Zr (0.5000, 0.5000, 0.0000)


[4]
Material: ZrTl2W
Method: DFT, PBE
State: optimized geometry

Computed properties:
As for the offset from the most stable computed form: 0.1032 eV/atom. The value obtained for the formation energy is 0.550 eV/atom. The total magnetization is 0.000 μB per formula unit.

Unit cell a=5.8182 b=5.8182 c=5.8182 alpha=144.09 beta=130.67 gamma=62.51
Fractional coordinates of all 4 atoms:
Zr (0.2755, 0.7755, 0.5000)
W (0.4870, 0.4870, 0.0000)
Tl (0.7352, 0.2352, 0.5000)
Tl (0.0023, 0.0023, 0.0000)


[5]
Material: ZrTlW2
Method: DFT, PBE
State: optimized geometry

Computed properties:
As for the offset from the most stable computed form: 0.0000 eV/atom. The value obtained for the formation energy is 0.285 eV/atom. The total magnetization is 0.000 μB per formula unit.

Unit cell a=3.2346 b=3.2348 c=7.5371 alpha=90.00 beta=90.00 gamma=90.00
Fractional coordinates of all 4 atoms:
Zr (0.0000, 0.0000, 0.4694)
W (0.5000, 0.5000, 0.2217)
W (0.0000, 0.0000, 0.0399)
Tl (0.5000, 0.5000, 0.7691)


[6]
Material: ZrTlW2
Method: DFT, PBE
State: optimized geometry

Computed properties:
As for the offset from the most stable computed form: 1.0346 eV/atom. The value obtained for the formation energy is 1.319 eV/atom. The total magnetization is 0.000 μB per formula unit.

Unit cell a=7.6990 b=7.6990 c=6.1329 alpha=51.12 beta=51.12 gamma=90.00
Fractional coordinates of all 8 atoms:
W (0.8750, 0.8784, 0.7500)
W (0.1216, 0.6250, 0.2500)
W (0.3750, 0.3716, 0.7500)
W (0.6284, 0.1250, 0.2500)
Tl (0.0000, 0.0000, 0.0000)
Tl (0.7500, 0.2500, 0.5000)
Zr (0.2500, 0.7500, 0.5000)
Zr (0.5000, 0.5000, 0.0000)


[7]
Material: ZrTl2W
Method: DFT, PBE
State: optimized geometry

Computed properties:
As for the offset from the most stable computed form: 0.0503 eV/atom. The value obtained for the formation energy is 0.497 eV/atom. The total magnetization is 0.000 μB per formula unit.

Unit cell a=10.2404 b=10.2404 c=10.2404 alpha=18.65 beta=18.65 gamma=18.65
Fractional coordinates of all 4 atoms:
Zr (0.7624, 0.7624, 0.7624)
Tl (0.2394, 0.2394, 0.2394)
Tl (0.0055, 0.0055, 0.0055)
W (0.4928, 0.4928, 0.4928)


[8]
Material: ZrTl2W
Method: DFT, PBE
State: optimized geometry

Computed properties:
As for the offset from the most stable computed form: 0.1081 eV/atom. The value obtained for the formation energy is 0.555 eV/atom. The total magnetization is 0.000 μB per formula unit.

Unit cell a=4.8509 b=3.0247 c=5.9351 alpha=77.97 beta=90.00 gamma=90.00
Fractional coordinates of all 4 atoms:
Tl (0.0000, 0.0834, 0.0066)
Tl (0.0000, 0.4166, 0.4934)
Zr (0.5000, 0.7500, 0.7500)
W (0.5000, 0.2500, 0.2500)


Q: Which of these has the highest offset from the most stable computed form?
A: number 6


Q: Which formula does entry 3 have?
A: ZrTlW2